CsTl3Sb | PBE | relaxed

```
CsTl3Sb
1.0
6.221 0.000 0.000
0.000 6.221 0.000
0.000 0.000 6.221
Cs Tl Sb
1 3 1
Direct
0.000 0.000 0.000 Cs
0.000 0.500 0.500 Tl
0.500 0.000 0.500 Tl
0.500 0.500 0.000 Tl
0.500 0.500 0.500 Sb
```

The space-group type is No. 221. The offset from the most stable computed form is 1.347 eV per formula unit. The total energy comes out at -2.30 eV/atom. As for the density: 5.987 g/cm³.

---

Cs3Tl4Sb | PBE | relaxed

```
Cs3Tl4Sb
1.0
7.691 0.000 0.000
0.000 13.820 0.000
0.000 0.000 7.961
Cs Tl Sb
6 8 2
Direct
0.000 0.000 0.000 Cs
0.000 0.271 0.451 Cs
0.000 0.729 0.451 Cs
0.500 0.229 0.951 Cs
0.500 0.500 0.500 Cs
0.500 0.771 0.951 Cs
0.000 0.349 0.986 Tl
0.000 0.651 0.986 Tl
0.208 0.000 0.497 Tl
0.292 0.500 0.997 Tl
0.500 0.151 0.486 Tl
0.500 0.849 0.486 Tl
0.708 0.500 0.997 Tl
0.792 0.000 0.497 Tl
0.000 0.500 0.700 Sb
0.500 0.000 0.200 Sb
```

The space-group type is No. 44. The total energy comes out at -2.21 eV/atom. As for the density: 5.252 g/cm³.

---

CsTl3Sb | PBE | relaxed

```
CsTl3Sb
1.0
6.395 0.000 0.000
0.000 6.395 0.000
0.000 0.000 6.395
Cs Tl Sb
1 3 1
Direct
0.000 0.000 0.000 Cs
0.000 0.000 0.500 Tl
0.000 0.500 0.000 Tl
0.500 0.000 0.000 Tl
0.500 0.500 0.500 Sb
```

The space-group type is No. 221. The offset from the most stable computed form is 5.261 eV per formula unit. The total energy comes out at -1.52 eV/atom. As for the density: 5.510 g/cm³.

---

Cs6TlSb2 | PBE | relaxed

```
Cs6TlSb2
1.0
3.300 1.905 13.282
-3.300 1.905 13.282
0.000 -3.810 13.282
Cs Tl Sb
6 1 2
Direct
0.080 0.080 0.080 Cs
0.208 0.208 0.208 Cs
0.309 0.309 0.309 Cs
0.691 0.691 0.691 Cs
0.792 0.792 0.792 Cs
0.920 0.920 0.920 Cs
0.500 0.500 0.500 Tl
0.409 0.409 0.409 Sb
0.591 0.591 0.591 Sb
```

The space-group type is No. 166. The total energy comes out at -1.98 eV/atom. As for the density: 4.127 g/cm³.